# 1
A geometry-optimized La3Y6Tm structure, computed with PBE-GGA.

## Properties
Crystal system: orthorhombic
Space group: No. 36
Total energy: -113.1 eV/cell
Energy of formation from the pure elements: 0.15 eV per atom

abc: 6.443 11.020 11.020
angles: 119.79 90.00 90.00
Positions (direct):
Tm: 0.128 0.195 0.805
Tm: 0.628 0.805 0.195
La: 0.963 0.059 0.288
La: 0.963 0.712 0.941
La: 0.463 0.288 0.059
La: 0.463 0.941 0.712
La: 0.568 0.614 0.386
La: 0.068 0.386 0.614
Y: 0.873 0.039 0.961
Y: 0.053 0.377 0.286
Y: 0.369 0.050 0.468
Y: 0.053 0.714 0.623
Y: 0.553 0.623 0.714
Y: 0.869 0.950 0.532
Y: 0.646 0.273 0.727
Y: 0.869 0.468 0.050
Y: 0.369 0.532 0.950
Y: 0.146 0.727 0.273
Y: 0.373 0.961 0.039
Y: 0.553 0.286 0.377

---

# 2
A geometry-optimized Ce5SmPb5 structure, computed with PBE-GGA.

## Properties
Crystal system: monoclinic
Space group: No. 12
Total energy: -54.9 eV/cell
Energy of formation from the pure elements: -0.18 eV per atom

abc: 6.419 7.869 8.965
angles: 106.39 90.00 114.07
Last column: magnetic moment on the atom in μB.
Positions (direct):
Pb: 0.167 0.334 0.337  -0.02
Pb: 0.833 0.666 0.663  -0.02
Pb: 0.168 0.336 0.829  -0.02
Pb: 0.832 0.664 0.171  -0.02
Pb: 0.500 0.000 0.000  -0.02
Ce: 0.666 0.333 0.833  0.66
Ce: 0.334 0.667 0.167  0.66
Ce: 0.000 0.000 0.500  0.80
Ce: 0.663 0.326 0.335  0.65
Ce: 0.337 0.674 0.665  0.65
Sm: 0.000 0.000 0.000  -0.05

---

# 3
A geometry-optimized RbInNF2 structure, computed with PBE-GGA.

## Properties
Crystal system: tetragonal
E_form (uncorrected): -0.2327 eV/atom
Space group: No. 123
Total energy: -16.9 eV/cell

abc: 5.231 5.231 5.270
angles: 90.00 90.00 90.00
Last column: magnetic moment on the atom in μB.
Positions (direct):
Rb: 0.000 0.000 0.000  0.06
In: 0.500 0.500 0.500  0.02
F: 0.500 0.000 0.000  0.07
F: 0.000 0.500 0.000  0.07
N: 0.000 0.000 0.500  1.86

---

# 4
A geometry-optimized Cs2MgHN structure, computed with PBE-GGA.

## Properties
Crystal system: tetragonal
Space group: No. 123
Total energy: -10.8 eV/cell

abc: 6.347 3.301 6.347
angles: 90.00 90.00 90.00
Last column: magnetic moment on the atom in μB.
Positions (direct):
Cs: 0.500 0.000 0.000  0.01
Cs: 0.000 0.000 0.500  0.01
H: 0.000 0.000 0.000  0.02
Mg: 0.500 0.500 0.500  0.01
N: 0.000 0.500 0.000  -0.25

---

# 5
A geometry-optimized Cs2NiH structure, computed with PBE-GGA.

## Properties
Crystal system: cubic
Space group: No. 225
Total energy: -8.5 eV/cell

abc: 5.949 5.949 5.949
angles: 60.00 60.00 60.00
Last column: magnetic moment on the atom in μB.
Positions (direct):
H: 0.000 0.000 0.000  0.02
Cs: 0.250 0.250 0.250  0.00
Cs: 0.750 0.750 0.750  0.00
Ni: 0.500 0.500 0.500  0.96

---

# 6
A geometry-optimized VBiSe2N structure, computed with PBE-GGA.

## Properties
Crystal system: tetragonal
E_form (uncorrected): -0.1157 eV/atom
Space group: No. 123
Total energy: -28.9 eV/cell

abc: 5.148 5.148 3.677
angles: 90.00 90.00 90.00
Last column: magnetic moment on the atom in μB.
Positions (direct):
N: 0.000 0.000 0.500  -0.14
V: 0.000 0.000 0.000  0.77
Se: 0.500 0.000 0.000  -0.04
Se: 0.000 0.500 0.000  -0.04
Bi: 0.500 0.500 0.500  0.04

---

# 7
A geometry-optimized ThCd2Br8 structure, computed with PBE-GGA.

## Properties
Crystal system: monoclinic
E_form (uncorrected): -1.1703 eV/atom
Space group: No. 12
Total energy: -35.5 eV/cell

abc: 6.914 9.828 9.828
angles: 46.64 94.21 94.21
Positions (direct):
Th: 0.000 0.000 0.000
Br: 0.184 0.863 0.863
Br: 0.816 0.137 0.137
Br: 0.734 0.185 0.685
Br: 0.644 0.709 0.709
Br: 0.266 0.815 0.315
Br: 0.734 0.685 0.185
Br: 0.356 0.291 0.291
Br: 0.266 0.315 0.815
Cd: 0.567 0.842 0.842
Cd: 0.433 0.158 0.158

---

# 8
A geometry-optimized Mo2Pt structure, computed with PBE-GGA.

## Properties
Crystal system: hexagonal
Space group: No. 189
Total energy: -83.9 eV/cell
Energy of formation from the pure elements: -0.09 eV per atom

abc: 7.804 7.804 2.685
angles: 90.00 90.00 120.00
Positions (direct):
Mo: 0.303 0.000 0.000
Mo: 0.000 0.635 0.500
Mo: 0.365 0.365 0.500
Mo: 0.000 0.303 0.000
Mo: 0.635 0.000 0.500
Mo: 0.697 0.697 0.000
Pt: 0.000 0.000 0.500
Pt: 0.667 0.333 0.000
Pt: 0.333 0.667 0.000